[1]
A relaxed structure of PmScNiPt. Source: Alexandria via LeMat-Bulk, functional GGA-PBE.

Geometry as POSCAR:
```
PmScNiPt
1.0
0.000 3.406 3.406
3.406 0.000 3.406
3.406 3.406 0.000
Pm Sc Ni Pt
1 1 1 1
Direct
0.000 0.000 0.000
0.500 0.500 0.500
0.750 0.750 0.750
0.250 0.250 0.250
```

E   -6.43 eV per atom
M_tot   0.000 μB/atom
Energy relative to the elements   -0.7029 eV/atom
D(E_F)   1.13 states/eV per atom

---

[2]
A relaxed structure of Hf3CoNi. Source: Alexandria via LeMat-Bulk, functional GGA-PBE.

Geometry as POSCAR:
```
Hf3CoNi
1.0
4.496 -2.741 0.000
4.496 2.741 0.000
-3.540 0.000 7.100
Hf Co Ni
6 2 2
Direct
0.009 0.009 0.259
0.300 0.300 0.133
0.302 0.302 0.672
0.698 0.698 0.328
0.700 0.700 0.867
0.991 0.991 0.741
0.267 0.733 0.000
0.733 0.267 0.000
0.291 0.709 0.500
0.709 0.291 0.500
```

E   -8.85 eV per atom
Distance to the lowest polymorph of the same formula   0.000 eV/f.u.
M_tot   0.000 μB/atom
Energy relative to the elements   -0.2984 eV/atom
D(E_F)   0.87 states/eV per atom

---

[3]
A relaxed structure of TiSnTe3. Source: Alexandria via LeMat-Bulk, functional GGA-PBE.

Geometry as POSCAR:
```
TiSnTe3
1.0
5.616 0.000 0.000
0.000 5.616 0.000
0.000 0.000 5.616
Ti Sn Te
1 1 3
Direct
0.000 0.000 0.000
0.500 0.500 0.500
0.000 0.500 0.500
0.500 0.000 0.500
0.500 0.500 0.000
```

E   -3.48 eV per atom
Distance to the lowest polymorph of the same formula   6.314 eV/f.u.
M_tot   0.005 μB/atom
D(E_F)   2.47 states/eV per atom

---

[4]
A relaxed structure of LaPrEuIn. Source: Alexandria via LeMat-Bulk, functional GGA-PBE.

Geometry as POSCAR:
```
LaPrEuIn
1.0
0.000 4.028 4.028
4.028 0.000 4.028
4.028 4.028 0.000
La Pr Eu In
1 1 1 1
Direct
0.000 0.000 0.000
0.500 0.500 0.500
0.750 0.750 0.750
0.250 0.250 0.250
```

E   -5.87 eV per atom
M_tot   1.855 μB/atom
Energy relative to the elements   -0.1923 eV/atom
D(E_F)   1.28 states/eV per atom

---

[5]
A relaxed structure of RbSrI2Br. Source: Alexandria via LeMat-Bulk, functional GGA-PBE.

Geometry as POSCAR:
```
RbSrI2Br
1.0
6.481 0.000 0.000
0.000 6.481 0.000
0.000 0.000 5.949
Rb Sr I Br
1 1 2 1
Direct
0.000 0.000 0.000
0.500 0.500 0.500
0.000 0.500 0.500
0.500 0.000 0.500
0.500 0.500 0.000
```

E   -3.18 eV per atom
M_tot   0.000 μB/atom
D(E_F)   0.00 states/eV per atom

---

[6]
A relaxed structure of AcNbB12. Source: Alexandria via LeMat-Bulk, functional GGA-PBE.

Geometry as POSCAR:
```
AcNbB12
1.0
4.154 0.000 0.000
0.000 4.154 0.000
0.000 0.000 8.217
Ac Nb B
1 1 12
Direct
0.000 0.000 0.000
0.000 0.000 0.500
0.199 0.500 0.256
0.199 0.500 0.744
0.500 0.199 0.256
0.500 0.199 0.744
0.500 0.500 0.103
0.500 0.500 0.403
0.500 0.500 0.597
0.500 0.500 0.897
0.500 0.801 0.256
0.500 0.801 0.744
0.801 0.500 0.256
0.801 0.500 0.744
```

E   -6.80 eV per atom
M_tot   0.121 μB/atom
Energy relative to the elements   -0.0664 eV/atom
D(E_F)   0.41 states/eV per atom

---

[7]
A relaxed structure of NaZnBr. Source: Alexandria via LeMat-Bulk, functional GGA-PBE.

Geometry as POSCAR:
```
NaZnBr
1.0
12.513 0.000 0.000
0.000 2.380 4.231
0.000 -2.380 4.231
Na Zn Br
2 2 2
Direct
0.236 0.000 0.000
0.764 0.000 0.000
0.000 0.354 0.354
0.500 0.870 0.870
0.238 0.670 0.670
0.762 0.670 0.670
```

E   -2.01 eV per atom
M_tot   0.000 μB/atom
D(E_F)   0.00 states/eV per atom

---

[8]
A relaxed structure of Pm2Er3Pb4. Source: Alexandria via LeMat-Bulk, functional GGA-PBE.

Geometry as POSCAR:
```
Pm2Er3Pb4
1.0
3.552 -8.616 0.000
3.552 8.616 0.000
0.000 0.000 8.999
Pm Er Pb
4 6 8
Direct
0.112 0.888 0.911
0.388 0.612 0.411
0.612 0.388 0.589
0.888 0.112 0.089
0.000 0.000 0.500
0.043 0.457 0.750
0.457 0.043 0.250
0.500 0.500 0.000
0.543 0.957 0.750
0.957 0.543 0.250
0.186 0.814 0.555
0.219 0.281 0.750
0.281 0.219 0.250
0.314 0.686 0.055
0.686 0.314 0.945
0.719 0.781 0.750
0.781 0.719 0.250
0.814 0.186 0.445
```

E   -4.66 eV per atom
Distance to the lowest polymorph of the same formula   0.000 eV/f.u.
M_tot   0.000 μB/atom
Energy relative to the elements   -0.4304 eV/atom
D(E_F)   0.53 states/eV per atom